Record 1
Computed, not measured: CePrGe2O8 after structural relaxation at the PBE-GGA level of DFT.

POSCAR file:
```
CePrGe2O8
1.0
-2.593 2.593 5.759
2.593 -2.593 5.759
2.593 2.593 -5.759
Ce Pr Ge O
1 1 2 8
Direct
0.000 0.000 0.000
0.250 0.750 0.500
0.500 0.500 0.000
0.750 0.250 0.500
0.265 0.677 0.096
0.323 0.420 0.588
0.414 0.023 0.104
0.580 0.169 0.904
0.690 0.586 0.610
0.831 0.735 0.412
0.920 0.310 0.896
0.977 0.080 0.390
```



Record 2
Computed, not measured: Ce2Pr4Ge3O2 after structural relaxation at the PBE-GGA level of DFT.

POSCAR file:
```
Ce2Pr4Ge3O2
1.0
-2.385 2.385 12.327
2.385 -2.385 12.327
2.385 2.385 -12.327
Ce Pr Ge O
2 4 3 2
Direct
0.199 0.199 0.000
0.801 0.801 0.000
0.080 0.580 0.500
0.420 0.920 0.500
0.580 0.080 0.500
0.920 0.420 0.500
0.324 0.324 0.000
0.500 0.500 0.000
0.676 0.676 0.000
0.106 0.106 0.000
0.894 0.894 0.000
```



Record 3
Computed, not measured: Ce4Pr2Ge3O2 after structural relaxation at the PBE-GGA level of DFT.

POSCAR file:
```
Ce4Pr2Ge3O2
1.0
-2.330 2.330 12.302
2.330 -2.330 12.302
2.330 2.330 -12.302
Ce Pr Ge O
4 2 3 2
Direct
0.080 0.580 0.500
0.420 0.920 0.500
0.580 0.080 0.500
0.920 0.420 0.500
0.201 0.201 0.000
0.799 0.799 0.000
0.328 0.328 0.000
0.500 0.500 0.000
0.672 0.672 0.000
0.097 0.097 0.000
0.903 0.903 0.000
```



Record 4
Computed, not measured: Ce2Pu4Ge3O2 after structural relaxation at the PBE-GGA level of DFT.

POSCAR file:
```
Ce2Pu4Ge3O2
1.0
-2.301 2.301 12.178
2.301 -2.301 12.178
2.301 2.301 -12.178
Ce Pu Ge O
2 4 3 2
Direct
0.200 0.200 0.000
0.800 0.800 0.000
0.081 0.581 0.500
0.419 0.919 0.500
0.581 0.081 0.500
0.919 0.419 0.500
0.327 0.327 0.000
0.500 0.500 0.000
0.673 0.673 0.000
0.104 0.104 0.000
0.896 0.896 0.000
```



Record 5
Computed, not measured: Rb2CeGe2O6 after structural relaxation at the PBE-GGA level of DFT.

POSCAR file:
```
Rb2CeGe2O6
1.0
5.278 -3.059 0.000
5.278 3.059 0.000
-3.746 0.000 6.115
Rb Ce Ge O
2 1 2 6
Direct
0.216 0.216 0.189
0.784 0.784 0.811
0.000 0.000 0.500
0.447 0.447 0.800
0.553 0.553 0.200
0.247 0.727 0.265
0.249 0.249 0.661
0.273 0.753 0.735
0.727 0.247 0.265
0.751 0.751 0.339
0.753 0.273 0.735
```



Record 6
Computed, not measured: RbCeGe2O6 after structural relaxation at the PBE-GGA level of DFT.

POSCAR file:
```
RbCeGe2O6
1.0
3.005 1.735 6.243
-3.005 1.735 6.243
0.000 -3.469 6.243
Rb Ce Ge O
1 1 2 6
Direct
0.000 0.000 0.000
0.500 0.500 0.500
0.234 0.234 0.234
0.766 0.766 0.766
0.072 0.509 0.705
0.295 0.928 0.490
0.490 0.295 0.928
0.510 0.705 0.072
0.705 0.072 0.510
0.928 0.490 0.295
```



Record 7
Computed, not measured: CeGeRuO after structural relaxation at the PBE-GGA level of DFT.

POSCAR file:
```
CeGeRuO
1.0
4.168 0.000 0.000
0.000 4.168 0.000
0.000 0.000 7.860
Ce Ge Ru O
2 2 2 2
Direct
0.250 0.250 0.145
0.750 0.750 0.855
0.250 0.250 0.659
0.750 0.750 0.341
0.250 0.750 0.500
0.750 0.250 0.500
0.250 0.750 0.000
0.750 0.250 0.000
```



Record 8
Computed, not measured: Ce4Sm2Ge3O2 after structural relaxation at the PBE-GGA level of DFT.

POSCAR file:
```
Ce4Sm2Ge3O2
1.0
-2.318 2.318 12.182
2.318 -2.318 12.182
2.318 2.318 -12.182
Ce Sm Ge O
4 2 3 2
Direct
0.081 0.581 0.500
0.419 0.919 0.500
0.581 0.081 0.500
0.919 0.419 0.500
0.201 0.201 0.000
0.799 0.799 0.000
0.326 0.326 0.000
0.500 0.500 0.000
0.674 0.674 0.000
0.101 0.101 0.000
0.899 0.899 0.000
```



no.,E_tot (eV per atom),formation energy (no corrections) (eV per formula unit),calculated volume (Å³/f.u.)
1,-7.307,-28.07,155
2,-6.394,-15.58,281
3,-6.642,-16.00,267
4,-9.678,-13.50,258
5,-6.398,-23.52,197
6,-6.552,-19.63,195
7,-7.885,-6.75,68
8,-6.624,-15.92,262